Record 1
## Hf2ScTl (PBE)

Data for a relaxed Hf2ScTl crystal.

abc: 5.0056 5.0056 5.0056
angles: 60.00 60.00 60.00
With the nearest neighbours (Å) after each atom.
Positions (direct):
Sc  0.0000  0.0000  0.0000  8 Hf 3.07
Tl  0.5000  0.5000  0.5000  8 Hf 3.07
Hf  0.2500  0.2500  0.2500  4 Tl 3.07, 4 Sc 3.07
Hf  0.7500  0.7500  0.7500  4 Tl 3.07, 4 Sc 3.07



Record 2
## HfScTl2 (PBE)

Data for a relaxed HfScTl2 crystal.

abc: 4.4003 4.4003 6.8297
angles: 71.21 71.21 60.00
With the nearest neighbours (Å) after each atom.
Positions (direct):
Hf  0.4902  0.4902  0.5295  6 Tl 2.90-3.12
Sc  0.6742  0.6742  0.9773  6 Tl 2.92-3.05
Tl  0.0837  0.0837  0.7489  3 Hf 2.90, 3 Sc 2.92, 1 Tl 3.20
Tl  0.2519  0.2519  0.2443  3 Sc 3.05, 3 Hf 3.12, 1 Tl 3.20



Number 1: excess energy over the best structure of this formula in the dataset 0.308 eV/atom. Number 2: excess energy over the best structure of this formula in the dataset 0.332 eV/atom.